(1)
Computed, not measured: BaSr6Ag4 after structural relaxation at the PBE level of DFT.

Computed properties:
* formation energy: -0.09 eV per atom
* magnetic moment: 0.0 μB/cell
* raw total energy: -24.420 eV/cell

Unit cell a=6.8971 b=6.8971 c=10.3265 alpha=109.51 beta=109.51 gamma=89.93
Fractional positions:
Ba1 0.0002 0.0002 0.9999
Sr1 0.0853 0.5526 0.6380
Sr2 0.9150 0.9150 0.3623
Sr3 0.5002 0.9991 0.0000
Sr4 0.4475 0.4475 0.3619
Sr5 0.5526 0.0853 0.6380
Sr6 0.9992 0.5002 0.0000
Ag1 0.3731 0.8957 0.2687
Ag2 0.8957 0.3731 0.2687
Ag3 0.6271 0.6271 0.7312
Ag4 0.1042 0.1042 0.7311

(2)
Computed, not measured: SmTm3O6 after structural relaxation at the PBE level of DFT.

Computed properties:
* raw formation energy: -3.5422 eV/atom
* magnetic moment: 0.0 μB/cell
* raw total energy: -166.610 eV/cell

Unit cell a=6.6977 b=6.6977 c=6.6977 alpha=91.18 beta=91.18 gamma=91.18
Fractional positions:
O1 0.9248 0.6772 0.1020
O2 0.3917 0.1741 0.5244
O3 0.5244 0.3917 0.1741
O4 0.8259 0.4756 0.6083
O5 0.4756 0.6083 0.8259
O6 0.6772 0.1020 0.9248
O7 0.3228 0.8980 0.0752
O8 0.0752 0.3228 0.8980
O9 0.1020 0.9248 0.6772
O10 0.1741 0.5244 0.3917
O11 0.8980 0.0752 0.3228
O12 0.6083 0.8259 0.4756
Tm1 0.0620 0.2515 0.5532
Tm2 0.4468 0.9380 0.7485
Tm3 0.2515 0.5532 0.0620
Tm4 0.5532 0.0620 0.2515
Tm5 0.7485 0.4468 0.9380
Tm6 0.9380 0.7485 0.4468
Sm1 0.5000 0.5000 0.5000
Sm2 0.0000 0.0000 0.0000

(3)
Computed, not measured: SrAcUO6 after structural relaxation at the PBE level of DFT.

Computed properties:
* raw formation energy: -2.9460 eV/atom
* magnetic moment: 0.0 μB/cell
* raw total energy: -146.683 eV/cell

Unit cell a=6.1058 b=6.1058 c=9.8512 alpha=90.00 beta=90.00 gamma=120.00
Fractional positions:
Ac1 0.0000 0.0000 0.0000
Ac2 0.0000 0.0000 0.5000
O1 0.6252 0.9473 0.8634
O2 0.3748 0.3221 0.3634
O3 0.6779 0.0527 0.3634
O4 0.9473 0.6252 0.3634
O5 0.3221 0.9473 0.6366
O6 0.0527 0.3748 0.6366
O7 0.6779 0.6252 0.1366
O8 0.9473 0.3221 0.1366
O9 0.3221 0.3748 0.8634
O10 0.6252 0.6779 0.6366
O11 0.3748 0.0527 0.1366
O12 0.0527 0.6779 0.8634
Sr1 0.6667 0.3333 0.7500
Sr2 0.3333 0.6667 0.2500
U1 0.6667 0.3333 0.2500
U2 0.3333 0.6667 0.7500

(4)
Computed, not measured: Ga2TcNi2 after structural relaxation at the PBE level of DFT.

Computed properties:
* energy above the lowest structure with this stoichiometry: 5.2 kJ/mol of atoms
* formation energy: -0.13 eV per atom
* magnetic moment: 0.0 μB/cell
* raw total energy: -57.232 eV/cell

Unit cell a=7.0690 b=7.0690 c=2.5996 alpha=90.00 beta=90.00 gamma=90.00
Fractional positions:
Ni1 0.1247 0.3753 0.0000
Ni2 0.3753 0.8753 0.0000
Ni3 0.8753 0.6247 0.0000
Ni4 0.6247 0.1247 0.0000
Tc1 0.0000 0.0000 0.0000
Tc2 0.5000 0.5000 0.0000
Ga1 0.3274 0.1726 0.5000
Ga2 0.6726 0.8274 0.5000
Ga3 0.1726 0.6726 0.5000
Ga4 0.8274 0.3274 0.5000